1.
A relaxed TbDy6Ho4 crystal. Source: Alexandria via LeMat-Bulk, functional PBE-GGA.

density of states at the Fermi level	13.57	states/eV per cell
crystal system	tetragonal
E above lowest polymorph	0.308	eV per atom
SG	I-42m
total moment	0.0	μB per formula unit

Cell and atoms, written as extended XYZ:
```
11
Lattice="-3.736 3.736 6.619 3.736 -3.736 6.619 3.736 3.736 -6.619" Properties=species:S:1:pos:R:3 pbc="T T T"
Tb 0.000 0.000 0.000
Dy 3.736 0.000 0.000
Dy 1.983 -1.983 4.154
Dy 1.753 1.753 2.464
Dy 0.000 3.736 0.000
Dy -1.983 1.983 4.154
Dy 1.983 1.983 9.083
Ho 2.505 2.505 -1.048
Ho 1.231 -1.231 7.667
Ho 1.231 1.231 5.570
Ho -1.231 1.231 7.667
```



2.
A relaxed LiSc2HIr crystal. Source: Alexandria via LeMat-Bulk, functional PBE-GGA.

density of states at the Fermi level	1.53	states/eV per cell
crystal system	tetragonal
SG	P4/mmm
raw total energy	-5.963	eV per atom
total moment	0.0	μB per formula unit

Cell and atoms, written as extended XYZ:
```
5
Lattice="4.564 0.000 0.000 0.000 4.564 0.000 0.000 0.000 3.358" Properties=species:S:1:pos:R:3 pbc="T T T"
Li 0.000 0.000 0.000
Sc 0.000 2.282 1.679
Sc 2.282 0.000 1.679
H 0.000 0.000 1.679
Ir 2.282 2.282 0.000
```



3.
A relaxed Cd2RuCl crystal. Source: Alexandria via LeMat-Bulk, functional PBE-GGA.

density of states at the Fermi level	21.60	states/eV per cell
crystal system	cubic
E above lowest polymorph	0.540	eV per atom
SG	F-43m
raw formation energy	0.56	eV/atom
total moment	0.9	μB per formula unit

Cell and atoms, written as extended XYZ:
```
16
Lattice="6.748 0.000 0.000 0.000 6.748 0.000 0.000 0.000 6.748" Properties=species:S:1:pos:R:3 pbc="T T T"
Cd 0.000 0.000 0.000
Cd 0.000 3.374 3.374
Cd 1.687 1.687 1.687
Cd 1.687 5.061 5.061
Cd 3.374 0.000 3.374
Cd 3.374 3.374 0.000
Cd 5.061 1.687 5.061
Cd 5.061 5.061 1.687
Ru 0.000 0.000 3.374
Ru 0.000 3.374 0.000
Ru 3.374 0.000 0.000
Ru 3.374 3.374 3.374
Cl 1.687 1.687 5.061
Cl 1.687 5.061 1.687
Cl 5.061 1.687 1.687
Cl 5.061 5.061 5.061
```



4.
A relaxed Ho4Al3Ag crystal. Source: Alexandria via LeMat-Bulk, functional PBE-GGA.

density of states at the Fermi level	4.37	states/eV per cell
crystal system	tetragonal
E above lowest polymorph	0.000	eV per atom
SG	P4/mmm
total moment	0.0	μB per formula unit

Cell and atoms, written as extended XYZ:
```
8
Lattice="3.566 0.000 0.000 0.000 3.566 0.000 0.000 0.000 14.607" Properties=species:S:1:pos:R:3 pbc="T T T"
Ho 0.000 0.000 1.797
Ho 0.000 0.000 5.427
Ho 0.000 0.000 9.180
Ho 0.000 0.000 12.810
Al 1.783 1.783 0.000
Al 1.783 1.783 3.618
Al 1.783 1.783 10.989
Ag 1.783 1.783 7.303
```